No. 1
An optimized crystal structure of ZrRePb. Source: Alexandria, functional GGA-PBE.

Formation energy (eV/atom): 0.40
Relative energy among the computed polymorphs (eV/atom): 0.114
ρ (Mg/m³): 12.32

a = 3.3097 Å, b = 3.3097 Å, c = 6.8881 Å
α = 90.00°, β = 90.00°, γ = 120.00°
Last column: nearest neighbours and their distance in Å.
Fractional positions:
Pb  0.0000  0.0000  0.0183  3 Re 3.00, 3 Zr 3.30, 6 Pb 3.31
Re  0.6667  0.3333  0.3536  3 Zr 2.69, 3 Pb 3.00
Zr  0.3333  0.6667  0.6281  3 Re 2.69


No. 2
An optimized crystal structure of ZrRePb2. Source: Alexandria, functional GGA-PBE.

Formation energy (eV/atom): 0.64
Relative energy among the computed polymorphs (eV/atom): 0.437
ρ (Mg/m³): 13.06

a = 9.5024 Å, b = 9.5024 Å, c = 9.5024 Å
α = 20.02°, β = 20.02°, γ = 20.02°
Last column: nearest neighbours and their distance in Å.
Fractional positions:
Pb  0.9929  0.9929  0.9929  3 Re 2.86, 3 Zr 3.16
Pb  0.5071  0.5071  0.5071  3 Re 2.86, 3 Zr 3.16
Re  0.2500  0.2500  0.2500  6 Pb 2.86
Zr  0.7500  0.7500  0.7500  6 Pb 3.16, 6 Zr 3.30


No. 3
An optimized crystal structure of ZrRe2Pb. Source: Alexandria, functional GGA-PBE.

Formation energy (eV/atom): 0.41
ρ (Mg/m³): 15.05

a = 5.6234 Å, b = 5.6234 Å, c = 5.6234 Å
α = 145.61°, β = 131.93°, γ = 60.43°
Last column: nearest neighbours and their distance in Å.
Fractional positions:
Pb  0.7643  0.2643  0.5000  6 Re 2.85-2.91, 2 Zr 3.12
Re  0.0104  0.0104  0.0000  2 Re 2.72, 4 Zr 2.83, 2 Pb 2.91
Re  0.2321  0.7321  0.5000  2 Re 2.72, 4 Pb 2.85, 2 Zr 3.03
Zr  0.4932  0.4932  0.0000  6 Re 2.83-3.03, 2 Pb 3.12


No. 4
An optimized crystal structure of Zr4RePb. Source: Alexandria, functional GGA-PBE.

Formation energy (eV/atom): 0.52
ρ (Mg/m³): 9.77

a = 5.6694 Å, b = 5.6694 Å, c = 5.6694 Å
α = 60.00°, β = 60.00°, γ = 60.00°
Last column: nearest neighbours and their distance in Å.
Fractional positions:
Zr  0.8805  0.3732  0.3732  6 Zr 2.79-2.88
Zr  0.3732  0.3732  0.8805  6 Zr 2.79-2.88
Zr  0.3732  0.8805  0.3732  6 Zr 2.79-2.88
Zr  0.3732  0.3732  0.3732  6 Zr 2.79-2.88
Re  0.0000  0.0000  0.0000  12 Zr 3.32, 4 Pb 3.47
Pb  0.7500  0.7500  0.7500  12 Zr 3.33, 4 Re 3.47


No. 5
An optimized crystal structure of ZrRe2Pb. Source: Alexandria, functional GGA-PBE.

Formation energy (eV/atom): 0.51
ρ (Mg/m³): 14.66

a = 5.1220 Å, b = 5.1220 Å, c = 5.0585 Å
α = 76.76°, β = 76.76°, γ = 36.15°
Last column: nearest neighbours and their distance in Å.
Fractional positions:
Pb  0.7500  0.7500  0.7500  4 Zr 2.99, 6 Re 3.02-3.06, 2 Pb 3.18
Re  0.9876  0.9876  0.0384  2 Re 2.72, 3 Zr 2.80-3.00, 1 Pb 3.02
Re  0.5124  0.5124  0.4616  2 Re 2.72, 3 Zr 2.80-3.00, 1 Pb 3.02
Zr  0.2500  0.2500  0.2500  6 Re 2.80-3.00, 4 Pb 2.99


No. 6
An optimized crystal structure of ZrRe2Pb. Source: Alexandria, functional GGA-PBE.

Formation energy (eV/atom): 0.61
ρ (Mg/m³): 14.62

a = 2.9669 Å, b = 2.9669 Å, c = 9.3216 Å
α = 90.00°, β = 90.00°, γ = 111.76°
Last column: nearest neighbours and their distance in Å.
Fractional positions:
Pb  0.5000  0.5000  0.7500  4 Pb 2.97, 4 Re 2.97
Re  0.0000  0.0000  0.0144  2 Zr 2.76, 4 Re 2.97, 2 Pb 2.97
Re  0.0000  0.0000  0.4856  2 Zr 2.76, 4 Re 2.97, 2 Pb 2.97
Zr  0.5000  0.5000  0.2500  4 Re 2.76, 4 Zr 2.97


Among the records above, which one has the lowest formation energy? ZrRePb